Record 1
The following is a DFT calculation (PBEsol) of a relaxed Ba4BeAu crystal.

```
data_Ba4BeAu
_chemical_formula_sum 'Ba16 Be4 Au4'
_space_group_name_H-M_alt 'F -4 3 m'
_space_group_IT_number 216
_space_group_name_Hall 'F -4 2 3'
_cell_length_a 9.672
_cell_length_b 9.672
_cell_length_c 9.672
_cell_angle_alpha 90.00
_cell_angle_beta 90.00
_cell_angle_gamma 90.00
loop_
_atom_site_label
_atom_site_fract_x
_atom_site_fract_y
_atom_site_fract_z
_atom_site_occupancy
Ba1 0.125 0.125 0.125 1
Be1 0.000 0.000 0.500 1
Au1 0.250 0.250 0.750 1
```

Results
Crystal system: cubic
Uncorrected energy: -1.95 eV per atom
E_form: 466.9 kJ/mol of formula units
N(E_F): 10.15 states/eV/f.u.

=====

Record 2
The following is a DFT calculation (PBEsol) of a relaxed Ba2BeAu crystal.

```
data_Ba2BeAu
_chemical_formula_sum 'Ba2 Be1 Au1'
_space_group_name_H-M_alt 'P 4/m m m'
_space_group_IT_number 123
_space_group_name_Hall '-P 4 2'
_cell_length_a 3.951
_cell_length_b 3.951
_cell_length_c 7.728
_cell_angle_alpha 90.00
_cell_angle_beta 90.00
_cell_angle_gamma 90.00
loop_
_atom_site_label
_atom_site_fract_x
_atom_site_fract_y
_atom_site_fract_z
_atom_site_occupancy
Ba1 0.000 0.000 0.249 1
Be1 0.500 0.500 0.000 1
Au1 0.500 0.500 0.500 1
```

Results
Crystal system: tetragonal
Uncorrected energy: -3.04 eV per atom
E_form: 4.6 kJ/mol of formula units
N(E_F): 3.99 states/eV/f.u.